Compound: CdSbAsBr2
Source: Alexandria
Functional: PBE
Structure: relaxed

```
data_CdSbAsBr2
_chemical_formula_sum 'Cd1 Sb1 As1 Br2'
_symmetry_space_group_name_H-M 'P 1'
_symmetry_Int_Tables_number 1
_cell_length_a 5.550
_cell_length_b 5.550
_cell_length_c 5.553
_cell_angle_alpha 90.00
_cell_angle_beta 90.00
_cell_angle_gamma 90.00
loop_
_symmetry_equiv_pos_as_xyz
'x,y,z'
loop_
_atom_site_label
_atom_site_fract_x
_atom_site_fract_y
_atom_site_fract_z
Br1 0.500 0.000 0.000
Br2 0.000 0.500 0.000
Sb1 0.000 0.000 0.000
Cd1 0.500 0.500 0.500
As1 0.000 0.000 0.500
```

Summary:
Its space-group type is P4/mmm, No. 123. The theoretical density is 4.6 g/cm³. The calculation puts the distance to the lowest polymorph of the same formula at 0 meV per atom. For the energy relative to the elements, uncorrected, the calculation gives 0.18 eV/atom. For the spin magnetization, the calculation gives 0.22 μB/cell. The crystal system is tetragonal.

Compound: Pm2Y6Pu
Source: Alexandria
Functional: PBE
Structure: relaxed

```
data_Pm2Y6Pu
_chemical_formula_sum 'Pm4 Y12 Pu2'
_symmetry_space_group_name_H-M 'P 1'
_symmetry_Int_Tables_number 1
_cell_length_a 10.732
_cell_length_b 5.032
_cell_length_c 10.734
_cell_angle_alpha 90.01
_cell_angle_beta 90.00
_cell_angle_gamma 90.00
loop_
_symmetry_equiv_pos_as_xyz
'x,y,z'
loop_
_atom_site_label
_atom_site_fract_x
_atom_site_fract_y
_atom_site_fract_z
Y1 0.332 0.000 0.500
Y2 0.000 0.000 0.832
Y3 0.500 0.500 0.668
Y4 0.836 0.500 0.336
Y5 0.164 0.500 0.664
Y6 0.000 0.000 0.168
Y7 0.336 0.000 0.164
Y8 0.832 0.500 0.000
Y9 0.500 0.500 0.332
Y10 0.668 0.000 0.500
Y11 0.168 0.500 0.000
Y12 0.664 0.000 0.836
Pm1 0.836 0.500 0.664
Pm2 0.164 0.500 0.336
Pm3 0.336 0.000 0.836
Pm4 0.664 0.000 0.164
Pu1 0.500 0.500 0.000
Pu2 0.000 0.000 0.500
```

Summary:
Its space-group type is P4_2/mnm, No. 136. The theoretical density is 6.1 g/cm³. For the spin magnetization, the calculation gives 11.76 μB/cell. The calculated formation energy is 0.0551 eV/atom. The crystal system is tetragonal.

Compound: CePmTh2Pt4
Source: Alexandria
Functional: PBE
Structure: relaxed

```
data_CePmTh2Pt4
_chemical_formula_sum 'Ce1 Pm1 Th2 Pt4'
_symmetry_space_group_name_H-M 'P 1'
_symmetry_Int_Tables_number 1
_cell_length_a 5.910
_cell_length_b 5.910
_cell_length_c 7.248
_cell_angle_alpha 114.05
_cell_angle_beta 114.05
_cell_angle_gamma 90.02
loop_
_symmetry_equiv_pos_as_xyz
'x,y,z'
loop_
_atom_site_label
_atom_site_fract_x
_atom_site_fract_y
_atom_site_fract_z
Pt1 0.684 0.684 0.494
Pt2 0.937 0.437 0.000
Pt3 0.437 0.937 0.000
Pt4 0.190 0.190 0.506
Th1 0.187 0.687 0.500
Th2 0.687 0.187 0.500
Ce1 0.437 0.437 0.000
Pm1 0.937 0.937 0.000
```

Summary:
Its space-group type is I4/mmm, No. 139. The theoretical density is 12.3 g/cm³. For the spin magnetization, the calculation gives 0.59 μB/cell. The calculated formation energy is -1.1400 eV/atom. The crystal system is tetragonal.